[1]
## Ho2CoBi (PBE)

Data for a relaxed structure of Ho2CoBi.

abc: 3.7242 3.7242 9.7052
angles: 78.94 78.94 60.00
Element x y z (fractional)
Co  0.5000  0.5000  0.5000
Bi  0.0000  0.0000  0.0000
Ho  0.1138  0.1138  0.6585
Ho  0.8862  0.8862  0.3415

Calculated values
SG	R-3m, No. 166
energy above the most stable polymorph in this dataset	352	meV per atom
energy of formation from the pure elements	-0.104	eV/atom

[2]
## In2Ge2Se (PBE)

Data for a relaxed structure of In2Ge2Se.

abc: 4.9291 4.9291 6.1995
angles: 66.58 66.58 90.00
Element x y z (fractional)
Ge  0.3824  0.3824  0.2353
Ge  0.6176  0.6176  0.7647
Se  0.0000  0.0000  0.0000
In  0.7500  0.2500  0.5000
In  0.2500  0.7500  0.5000

Calculated values
formation energy without anion corrections	0.2284	eV/atom
SG	I4/mmm, No. 139
energy above the most stable polymorph in this dataset	190	meV per atom

[3]
## LiPu2NpS4 (PBE)

Data for a relaxed structure of LiPu2NpS4.

abc: 3.9241 6.7844 6.7871
angles: 70.06 90.00 90.00
Site moments in Bohr magnetons follow the coordinates.
Element x y z (fractional)
Li  0.5000  0.5000  0.0000  0.00
Pu  0.0000  0.0000  0.0000  -5.19
Pu  0.5000  0.0000  0.5000  5.10
Np  0.0000  0.5000  0.5000  -3.78
S  0.0000  0.7432  0.7540  0.00
S  0.0000  0.2568  0.2460  0.00
S  0.5000  0.7436  0.2473  0.08
S  0.5000  0.2564  0.7527  0.08

Calculated values
formation energy without anion corrections	-1.5117	eV/atom
SG	P2/m, No. 10

[4]
## Gd6Er (PBE)

Data for a relaxed structure of Gd6Er.

abc: 6.8954 6.8954 6.8954
angles: 109.47 109.47 109.47
Site moments in Bohr magnetons follow the coordinates.
Element x y z (fractional)
Gd  0.2500  0.7500  0.5000  7.09
Gd  0.5000  0.7500  0.2500  7.09
Gd  0.2500  0.5000  0.7500  7.09
Gd  0.7500  0.2500  0.5000  7.09
Gd  0.5000  0.2500  0.7500  7.09
Gd  0.7500  0.5000  0.2500  7.09
Er  0.0000  0.0000  0.0000  -0.14

Calculated values
SG	Im-3m, No. 229
energy of formation from the pure elements	1.348	eV/atom

[5]
## MnFeIr (PBE)

Data for a relaxed structure of MnFeIr.

abc: 7.0607 4.6730 6.1530
angles: 48.12 90.00 90.00
Site moments in Bohr magnetons follow the coordinates.
Element x y z (fractional)
Mn  0.9713  0.8555  0.9088  -1.43
Mn  0.4713  0.6445  0.5912  -1.43
Mn  0.0287  0.1445  0.0912  -1.43
Mn  0.5287  0.3555  0.4088  -1.43
Fe  0.8433  0.2240  0.3733  2.11
Fe  0.3433  0.2760  0.1267  2.11
Fe  0.1567  0.7760  0.6267  2.11
Fe  0.6567  0.7240  0.8733  2.11
Ir  0.6631  0.0240  0.1072  0.13
Ir  0.1631  0.4760  0.3928  0.13
Ir  0.3369  0.9760  0.8928  0.13
Ir  0.8369  0.5240  0.6072  0.13

Calculated values
SG	P2_1/c, No. 14
energy above the most stable polymorph in this dataset	146	meV per atom
energy of formation from the pure elements	0.053	eV/atom

[6]
## NbZnAu (PBE)

Data for a relaxed structure of NbZnAu.

abc: 2.9103 4.4727 4.4727
angles: 120.00 90.00 90.00
Element x y z (fractional)
Nb  0.9999  0.0000  0.0000
Au  0.5003  0.6667  0.3333
Zn  0.4998  0.3333  0.6667

Calculated values
SG	P-6m2, No. 187
energy of formation from the pure elements	-0.069	eV/atom

[7]
## OsBrNF2 (PBE)

Data for a relaxed structure of OsBrNF2.

abc: 4.2028 4.2028 3.8231
angles: 90.00 90.00 90.00
Element x y z (fractional)
N  0.0000  0.0000  0.5000
Os  0.0000  0.0000  0.0000
Br  0.5000  0.5000  0.5000
F  0.0000  0.5000  0.0000
F  0.5000  0.0000  0.0000

Calculated values
formation energy without anion corrections	-0.0545	eV/atom
SG	P4/mmm, No. 123
energy above the most stable polymorph in this dataset	0	meV per atom

[8]
## TbDyGaOs (PBE)

Data for a relaxed structure of TbDyGaOs.

abc: 4.9369 4.9369 4.9369
angles: 60.00 60.00 60.00
Element x y z (fractional)
Tb  0.5000  0.5000  0.5000
Os  0.2500  0.2500  0.2500
Ga  0.7500  0.7500  0.7500
Dy  0.0000  0.0000  0.0000

Calculated values
SG	F-43m, No. 216
energy of formation from the pure elements	-0.348	eV/atom

[9]
## Tm5SbSe4 (PBE)

Data for a relaxed structure of Tm5SbSe4.

abc: 4.1118 5.7750 10.7545
angles: 105.57 101.02 90.00
Element x y z (fractional)
Tm  0.6065  0.1065  0.2130
Tm  0.8007  0.3007  0.6013
Tm  0.1993  0.6993  0.3987
Tm  0.0000  0.5000  0.0000
Tm  0.3935  0.8935  0.7870
Sb  0.0000  0.0000  0.0000
Se  0.3989  0.3989  0.7979
Se  0.7965  0.7965  0.5931
Se  0.2035  0.2035  0.4069
Se  0.6011  0.6011  0.2021

Calculated values
formation energy without anion corrections	-1.5355	eV/atom
SG	Immm, No. 71

[10]
## Cs2HfPd (PBE)

Data for a relaxed structure of Cs2HfPd.

abc: 6.0108 6.0108 6.0108
angles: 60.00 60.00 60.00
Site moments in Bohr magnetons follow the coordinates.
Element x y z (fractional)
Cs  0.2500  0.2500  0.2500  0.03
Cs  0.7500  0.7500  0.7500  0.03
Hf  0.5000  0.5000  0.5000  1.16
Pd  0.0000  0.0000  0.0000  -0.07

Calculated values
SG	Fm-3m, No. 225
energy above the most stable polymorph in this dataset	621	meV per atom
energy of formation from the pure elements	1.362	eV/atom

[11]
## Mg3GeBr8 (PBE)

Data for a relaxed structure of Mg3GeBr8.

abc: 7.8770 7.8772 8.4354
angles: 118.68 90.00 120.00
Element x y z (fractional)
Mg  0.5000  0.0000  0.0000
Mg  0.5000  0.5000  0.0000
Mg  0.0000  0.5000  0.0000
Ge  0.0000  0.0000  0.0000
Br  0.2602  0.5204  0.7865
Br  0.7398  0.4796  0.2135
Br  0.2715  0.0235  0.7816
Br  0.7520  0.0235  0.7816
Br  0.7520  0.5041  0.7816
Br  0.2480  0.4959  0.2184
Br  0.2480  0.9765  0.2184
Br  0.7285  0.9765  0.2184

Calculated values
formation energy without anion corrections	-1.2484	eV/atom
SG	C2/m, No. 12

[12]
## KNiIrPd2 (PBE)

Data for a relaxed structure of KNiIrPd2.

abc: 4.8562 5.7230 4.8562
angles: 90.00 90.00 90.00
Site moments in Bohr magnetons follow the coordinates.
Element x y z (fractional)
Ni  0.5000  0.5000  0.5000  0.01
K  0.0000  0.5000  0.0000  0.00
Ir  0.0000  0.0000  0.0000  0.42
Pd  0.0000  0.0000  0.5000  0.21
Pd  0.5000  0.0000  0.0000  0.07

Calculated values
SG	P4/mmm, No. 123
energy of formation from the pure elements	1.488	eV/atom

One value per record, in order, for E_tot: -20.56, -17.05, -72.12, -79.61, -26.34, -14.83, -25.24, -24.88, -55.77, -11.40, -37.76, -18.69 eV per formula unit.
One value per record, in order, for D(E_F): 1.329, 3.177, 28.191, 10.674, 3.026, 2.792, 3.043, 2.713, 4.011, 5.655, 0.000, 10.646 states/eV/f.u..
One value per record, in order, for calculated density: 8.7, 6.1, 8.4, 7.3, 13.3, 11.7, 7.9, 11.3, 8.8, 6.0, 3.5, 6.2 g cm⁻³.